# 1
This record from Alexandria via LeMat-Bulk describes an optimized crystal structure of Ta2MnTc. The functional is PBE.

Lattice parameters (Å, degrees): 2.894 2.894 26.709 90.00 90.00 120.00
Atoms (fractional coordinates):
Ta: 0.000 0.000 0.000
Ta: 0.000 0.000 0.240
Ta: 0.333 0.667 0.667
Ta: 0.333 0.667 0.906
Ta: 0.667 0.333 0.333
Ta: 0.667 0.333 0.573
Mn: 0.000 0.000 0.492
Mn: 0.333 0.667 0.159
Mn: 0.667 0.333 0.825
Tc: 0.000 0.000 0.753
Tc: 0.333 0.667 0.420
Tc: 0.667 0.333 0.086

Results
Formation enthalpy at 0 K, eV per atom: 0.2150
DFT total energy, eV/atom: -10.60

---

# 2
This record from Alexandria via LeMat-Bulk describes an optimized crystal structure of Tb3Ho4ScS8. The functional is PBE.

Lattice parameters (Å, degrees): 7.761 7.761 7.761 60.02 60.02 60.02
Atoms (fractional coordinates):
Tb: 0.000 0.500 0.500
Tb: 0.500 0.000 0.500
Tb: 0.500 0.500 0.000
Ho: 0.000 0.000 0.500
Ho: 0.000 0.500 0.000
Ho: 0.500 0.000 0.000
Ho: 0.500 0.500 0.500
Sc: 0.000 0.000 0.000
S: 0.243 0.755 0.755
S: 0.245 0.245 0.757
S: 0.245 0.757 0.245
S: 0.249 0.249 0.249
S: 0.751 0.751 0.751
S: 0.755 0.243 0.755
S: 0.755 0.755 0.243
S: 0.757 0.245 0.245

Results
E_form (uncorrected), eV per atom: -1.96
DFT total energy, eV/atom: -6.43

---

# 3
This record from Alexandria via LeMat-Bulk describes an optimized crystal structure of MnSiSbMo2. The functional is PBE.

Lattice parameters (Å, degrees): 4.588 4.588 4.284 90.00 90.00 90.00
Atoms (fractional coordinates):
Mn: 0.000 0.000 0.000
Si: 0.000 0.000 0.500
Sb: 0.500 0.500 0.000
Mo: 0.000 0.500 0.500
Mo: 0.500 0.000 0.500

Results
E_form (uncorrected), eV per atom: 0.69
DFT total energy, eV/atom: -7.38

---

# 4
This record from Alexandria via LeMat-Bulk describes an optimized crystal structure of AcLa6Tl2. The functional is PBE.

Lattice parameters (Å, degrees): 5.061 5.061 12.660 90.00 90.00 90.00
Atoms (fractional coordinates):
Ac: 0.000 0.000 0.000
La: 0.000 0.000 0.500
La: 0.000 0.500 0.287
La: 0.000 0.500 0.713
La: 0.500 0.000 0.287
La: 0.500 0.000 0.713
La: 0.500 0.500 0.500
Tl: 0.500 0.500 0.115
Tl: 0.500 0.500 0.885

Results
ΔE to the lowest computed polymorph, meV/atom: 59
Formation enthalpy at 0 K, eV per atom: -0.1091
DFT total energy, eV/atom: -4.38

---

# 5
This record from Alexandria via LeMat-Bulk describes an optimized crystal structure of Pu2HfZn16. The functional is PBE.

Lattice parameters (Å, degrees): 6.890 6.890 6.890 82.40 82.40 82.40
Atoms (fractional coordinates):
Pu: 0.000 0.000 0.000
Pu: 0.328 0.328 0.328
Hf: 0.562 0.562 0.562
Zn: 0.018 0.018 0.492
Zn: 0.018 0.492 0.018
Zn: 0.150 0.663 0.663
Zn: 0.303 0.303 0.806
Zn: 0.303 0.806 0.303
Zn: 0.363 0.659 0.953
Zn: 0.363 0.953 0.659
Zn: 0.492 0.018 0.018
Zn: 0.659 0.363 0.953
Zn: 0.659 0.953 0.363
Zn: 0.663 0.150 0.663
Zn: 0.663 0.663 0.150
Zn: 0.772 0.772 0.772
Zn: 0.806 0.303 0.303
Zn: 0.953 0.363 0.659
Zn: 0.953 0.659 0.363

Results
Formation enthalpy at 0 K, eV per atom: -0.1145
DFT total energy, eV/atom: -3.22

---

# 6
This record from Alexandria via LeMat-Bulk describes an optimized crystal structure of Ca5ScSb4. The functional is PBE.

Lattice parameters (Å, degrees): 9.470 9.470 7.995 100.54 100.54 28.68
Atoms (fractional coordinates):
Ca: 0.000 0.000 0.000
Ca: 0.328 0.328 0.020
Ca: 0.347 0.347 0.532
Ca: 0.653 0.653 0.468
Ca: 0.672 0.672 0.980
Sc: 0.000 0.000 0.500
Sb: 0.195 0.195 0.235
Sb: 0.476 0.476 0.264
Sb: 0.524 0.524 0.736
Sb: 0.805 0.805 0.765

Results
E_form (uncorrected), eV per atom: -0.85
DFT total energy, eV/atom: -4.13

---

# 7
This record from Alexandria via LeMat-Bulk describes an optimized crystal structure of CsTmAuSe2. The functional is PBE.

Lattice parameters (Å, degrees): 8.362 4.955 7.927 90.00 96.40 90.00
Atoms (fractional coordinates):
Cs: 0.000 0.105 0.250
Cs: 0.000 0.895 0.750
Tm: 0.500 0.496 0.750
Tm: 0.500 0.504 0.250
Au: 0.500 0.000 0.000
Au: 0.500 0.000 0.500
Se: 0.273 0.386 0.974
Se: 0.273 0.614 0.474
Se: 0.727 0.386 0.526
Se: 0.727 0.614 0.026

Results
E_form (uncorrected), eV per atom: -1.09
DFT total energy, eV/atom: -4.21

---

# 8
This record from Alexandria via LeMat-Bulk describes an optimized crystal structure of BaIrOs2. The functional is PBE.

Lattice parameters (Å, degrees): 2.903 5.037 5.225 90.00 90.00 90.00
Atoms (fractional coordinates):
Ba: 0.000 0.000 0.000
Ir: 0.500 0.500 0.000
Os: 0.000 0.500 0.500
Os: 0.500 0.000 0.500

Results
ΔE to the lowest computed polymorph, meV/atom: 1114
Formation enthalpy at 0 K, eV per atom: 1.3937
DFT total energy, eV/atom: -6.92